# YRe2Sb

YRe2Sb after structural relaxation (PBE-GGA, Alexandria).

Output
For the uncorrected formation energy, the calculation gives 969 meV/atom.

abc: 7.851 7.851 6.219
angles: 50.86 50.86 90.00
Sites, in units of the cell vectors:
Re  0.875  0.922  0.750
Re  0.078  0.625  0.250
Sb  0.750  0.250  0.500
Y  0.500  0.500  0.000
Y  0.250  0.750  0.500
Sb  0.000  0.000  0.000
Re  0.672  0.125  0.250
Re  0.375  0.328  0.750



# LiAc8In2

LiAc8In2 after structural relaxation (PBE-GGA, Alexandria).

Output
For the energy of formation, the calculation gives -108 meV per atom.

abc: 5.731 7.687 10.417
angles: 100.57 105.97 90.00
Sites, in units of the cell vectors:
In  0.195  0.736  0.391
Ac  0.406  0.537  0.812
Ac  0.976  0.243  0.952
In  0.805  0.264  0.609
Ac  0.024  0.757  0.048
Ac  0.803  0.708  0.606
Ac  0.594  0.463  0.188
Li  0.500  0.000  0.000
Ac  0.197  0.292  0.394
Ac  0.658  0.957  0.317
Ac  0.342  0.043  0.683



Volume for the records above, in order: 21.60, 39.37 Å³ per atom